Entry 1:
Computed, not measured: ScHg2Mo after structural relaxation at the PBE level of DFT.

abc: 11.0710 3.0553 5.2188
angles: 90.00 116.85 90.00
With the nearest neighbours (Å) after each atom.
Space group Cm (No. 8)
Asymmetric unit:
Sc (0.0000, 0.0000, 0.0000) x2  3 Mo 2.90-3.14, 7 Hg 2.99-3.08, 2 Sc 3.06
Hg (0.0149, 0.5000, 0.5061) x2  4 Sc 2.99-3.06, 5 Hg 2.99-3.06, 3 Mo 3.00-3.11
Hg (0.2577, 0.5000, 0.3955) x2  4 Mo 2.98-3.07, 5 Hg 2.99-3.06, 3 Sc 3.07-3.08
Mo (0.2612, 0.0000, 0.9085) x2  3 Sc 2.90-3.14, 7 Hg 2.98-3.11, 2 Mo 3.06

Results
E above lowest polymorph = 0.0691 eV/atom
final energy = -34.0 eV/cell
energy relative to the elements = 191 meV/atom

=====

Entry 2:
Computed, not measured: SmB2Ir5 after structural relaxation at the PBE level of DFT.

abc: 3.9776 6.4429 9.0027
angles: 90.00 90.00 90.00
With the nearest neighbours (Å) after each atom.
Space group Immm (No. 71)
Asymmetric unit:
Sm (0.0000, 0.0000, 0.0000) x2  14 Ir 3.06-3.42, 4 B 3.07
B (0.0000, 0.5000, 0.2408) x4  3 Ir 2.13-2.17
Ir (0.0000, 0.2074, 0.3497) x8  1 B 2.13
Ir (0.0000, 0.5000, 0.0000) x2  2 B 2.17

Results
final energy = -130.5 eV/cell
energy relative to the elements = -359 meV/atom

=====

Entry 3:
Computed, not measured: CaGa2Cl6 after structural relaxation at the PBE level of DFT.

abc: 14.4328 11.6560 6.8111
angles: 90.00 100.07 90.00
With the nearest neighbours (Å) after each atom.
Space group C2/c (No. 15)
Asymmetric unit:
Ca (0.0000, 0.0691, 0.2500) x4  4 Cl 2.66-2.67
Ga (0.0854, 0.4238, 0.2607) x8  3 Cl 2.19-2.36, 1 Ga 2.44
Cl (0.1070, 0.0860, 0.6102) x8  2 Ca 2.66-2.67
Cl (0.1316, 0.2597, 0.1551) x8  1 Ga 2.19
Cl (0.1636, 0.4413, 0.5941) x8  2 Ga 2.34-2.36

Results
E above lowest polymorph = 0.0000 eV/atom
final energy = -127.0 eV/cell
ΔE_f (raw) = -1.40 eV per atom

=====

Entry 4:
Computed, not measured: Ca2NbRhBr after structural relaxation at the PBE level of DFT.

abc: 5.4142 5.4142 4.7277
angles: 90.00 90.00 90.00
With the nearest neighbours (Å) after each atom.
Space group P4/mmm (No. 123)
Asymmetric unit:
Ca (0.0000, 0.5000, 0.0000) x2  2 Br 2.71
Nb (0.0000, 0.0000, 0.5000) x1  8 Ca 3.59, 4 Rh 3.83
Rh (0.5000, 0.5000, 0.5000) x1  2 Br 2.36
Br (0.5000, 0.5000, 0.0000) x1  2 Rh 2.36

Results
final energy = -20.7 eV/cell
ΔE_f (raw) = 0.49 eV per atom